(1)
A relaxed Nb2Sn2Mo crystal, computed with PBEsol.

Calculated values
For the energy of formation from the pure elements, the calculation gives 0.595 eV per atom. As for the magnetic moment: 0.00 μB/atom. The density of states at the Fermi level comes out at 4.780 states/eV/f.u. The space-group type is I4/mmm, No. 139. For the total energy, the calculation gives -38.95 eV per cell.

Cell lengths 7.5901, 7.5901, 7.5901 Å; angles 151.51, 151.51, 40.73 degrees
Positions (direct):
Nb1 0.2500 0.7500 0.5000
Nb2 0.7500 0.2500 0.5000
Sn1 0.0961 0.0961 0.0000
Sn2 0.9039 0.9039 0.0000
Mo1 0.5000 0.5000 0.0000



(2)
A relaxed NbSn2Mo crystal, computed with PBEsol.

Calculated values
For the energy of formation from the pure elements, the calculation gives 0.197 eV per atom. As for the magnetic moment: 0.00 μB/atom. The density of states at the Fermi level comes out at 2.694 states/eV/f.u. The space-group type is Fm-3m, No. 225. For the total energy, the calculation gives -30.32 eV per cell.

Cell lengths 4.7046, 4.7046, 4.7046 Å; angles 60.00, 60.00, 60.00 degrees
Positions (direct):
Nb1 0.0000 0.0000 0.0000
Sn1 0.2500 0.2500 0.2500
Sn2 0.7500 0.7500 0.7500
Mo1 0.5000 0.5000 0.5000



(3)
A relaxed Ta2NbMo crystal, computed with PBEsol.

Calculated values
For the energy of formation from the pure elements, the calculation gives -0.078 eV per atom. As for the magnetic moment: 0.00 μB/atom. The density of states at the Fermi level comes out at 4.591 states/eV/f.u. The space-group type is Fm-3m, No. 225. For the total energy, the calculation gives -48.01 eV per cell.

Cell lengths 4.5734, 4.5734, 4.5734 Å; angles 60.00, 60.00, 60.00 degrees
Positions (direct):
Ta1 0.2500 0.2500 0.2500
Ta2 0.7500 0.7500 0.7500
Nb1 0.0000 0.0000 0.0000
Mo1 0.5000 0.5000 0.5000